SmSc3Cd6: relaxed, GGA-PBE.

Output
uncorrected energy = -63.50 eV/cell
M_tot = 0.00 μB/cell
formation enthalpy at 0 K = -0.2547 eV/atom
N(E_F) = 8.5 states/eV/f.u.

Cell lengths 5.0428, 8.8492, 10.7936 Å; angles 106.40, 90.00, 90.00 degrees
Fractional positions:
Sm (0.2500, 0.9400, 0.6109)
Sm (0.7500, 0.0600, 0.3891)
Sc (0.2500, 0.5307, 0.3953)
Sc (0.7500, 0.4693, 0.6047)
Sc (0.2500, 0.3522, 0.8089)
Sc (0.7500, 0.6478, 0.1911)
Sc (0.2500, 0.7555, 0.9993)
Sc (0.7500, 0.2445, 0.0007)
Cd (0.2500, 0.4550, 0.1002)
Cd (0.7500, 0.5450, 0.8998)
Cd (0.2500, 0.1494, 0.2041)
Cd (0.7500, 0.8506, 0.7959)
Cd (0.2500, 0.6358, 0.7071)
Cd (0.7500, 0.3642, 0.2929)
Cd (0.2500, 0.2640, 0.5186)
Cd (0.7500, 0.7360, 0.4814)
Cd (0.2500, 0.8259, 0.2957)
Cd (0.7500, 0.1741, 0.7043)
Cd (0.2500, 0.0589, 0.9129)
Cd (0.7500, 0.9411, 0.0871)

SmSc2Cd3: relaxed, GGA-PBE.

Output
uncorrected energy = -21.88 eV/cell
M_tot = 0.52 μB/cell
formation enthalpy at 0 K = -0.2920 eV/atom
N(E_F) = 6.1 states/eV/f.u.

Cell lengths 3.6038, 3.6038, 11.0541 Å; angles 90.00, 90.00, 90.00 degrees
Fractional positions:
Sm (0.5000, 0.5000, 0.5000)
Sc (0.5000, 0.5000, 0.8428)
Sc (0.5000, 0.5000, 0.1572)
Cd (0.0000, 0.0000, 0.0000)
Cd (0.0000, 0.0000, 0.6909)
Cd (0.0000, 0.0000, 0.3091)

SmSc4Cd5: relaxed, GGA-PBE.

Output
uncorrected energy = -37.54 eV/cell
M_tot = 0.47 μB/cell
formation enthalpy at 0 K = -0.2918 eV/atom
N(E_F) = 10.1 states/eV/f.u.

Cell lengths 3.5725, 3.5725, 18.1772 Å; angles 90.00, 90.00, 90.00 degrees
Fractional positions:
Sm (0.0000, 0.0000, 0.0000)
Sc (0.0000, 0.0000, 0.2115)
Sc (0.0000, 0.0000, 0.4040)
Sc (0.0000, 0.0000, 0.5960)
Sc (0.0000, 0.0000, 0.7885)
Cd (0.5000, 0.5000, 0.1176)
Cd (0.5000, 0.5000, 0.3073)
Cd (0.5000, 0.5000, 0.5000)
Cd (0.5000, 0.5000, 0.6927)
Cd (0.5000, 0.5000, 0.8824)

SmSc5Cd6: relaxed, GGA-PBE.

Output
uncorrected energy = -45.25 eV/cell
M_tot = 0.54 μB/cell
formation enthalpy at 0 K = -0.2822 eV/atom
N(E_F) = 12.7 states/eV/f.u.

Cell lengths 5.0390, 7.2686, 8.7621 Å; angles 114.50, 106.71, 90.00 degrees
Fractional positions:
Sc (0.6631, 0.1631, 0.3262)
Sc (0.3311, 0.3311, 0.6621)
Sc (0.0000, 0.5000, 0.0000)
Sc (0.6689, 0.6689, 0.3379)
Sc (0.3369, 0.8369, 0.6738)
Sm (0.0000, 0.0000, 0.0000)
Cd (0.8284, 0.5672, 0.6566)
Cd (0.8283, 0.0895, 0.6566)
Cd (0.5000, 0.7290, 0.0000)
Cd (0.5000, 0.2710, 0.0000)
Cd (0.1717, 0.9105, 0.3434)
Cd (0.1716, 0.4328, 0.3434)

SmSc8Cd2: relaxed, GGA-PBE.

Output
uncorrected energy = -56.41 eV/cell
M_tot = 0.00 μB/cell
formation enthalpy at 0 K = 0.0718 eV/atom
N(E_F) = 16.3 states/eV/f.u.

Cell lengths 5.2669, 8.2261, 8.2004 Å; angles 59.90, 77.73, 64.93 degrees
Fractional positions:
Sm (0.5000, 0.0000, 0.0000)
Sc (0.8703, 0.0965, 0.2253)
Sc (0.8703, 0.3219, 0.7747)
Sc (0.2940, 0.4151, 0.0000)
Sc (0.5000, 0.7797, 0.4406)
Sc (0.5000, 0.2203, 0.5594)
Sc (0.7060, 0.5849, 0.0000)
Sc (0.1297, 0.6781, 0.2253)
Sc (0.1297, 0.9035, 0.7747)
Cd (0.0000, 0.3065, 0.3869)
Cd (0.0000, 0.6935, 0.6131)

Sm5ScCd3: relaxed, GGA-PBE.

Output
uncorrected energy = -68.29 eV/cell
M_tot = 0.00 μB/cell
formation enthalpy at 0 K = -0.1636 eV/atom
N(E_F) = 7.6 states/eV/f.u.

Cell lengths 6.8857, 9.3030, 9.3027 Å; angles 120.00, 90.00, 90.00 degrees
Fractional positions:
Sm (0.0000, 0.6667, 0.3334)
Sm (0.5000, 0.3333, 0.6666)
Sm (0.0000, 0.3333, 0.6666)
Sm (0.5000, 0.6667, 0.3334)
Sm (0.7500, 0.6747, 0.6748)
Sm (0.7500, 0.0000, 0.3252)
Sm (0.7500, 0.3252, 0.0000)
Sm (0.2500, 0.3253, 0.3252)
Sm (0.2500, 0.0000, 0.6748)
Sm (0.2500, 0.6748, 0.0000)
Sc (0.0000, 0.0000, 0.0000)
Sc (0.5000, 0.0000, 0.0000)
Cd (0.7500, 0.3339, 0.3340)
Cd (0.7500, 0.0000, 0.6660)
Cd (0.7500, 0.6660, 0.0000)
Cd (0.2500, 0.6661, 0.6660)
Cd (0.2500, 0.0000, 0.3340)
Cd (0.2500, 0.3340, 0.0000)

SmSc2Cd: relaxed, GGA-PBE.

Output
uncorrected energy = -18.75 eV/cell
M_tot = 0.00 μB/cell
formation enthalpy at 0 K = -0.1138 eV/atom
N(E_F) = 4.6 states/eV/f.u.

Cell lengths 3.4281, 3.4281, 8.6965 Å; angles 90.00, 90.00, 90.00 degrees
Fractional positions:
Sc (0.0000, 0.0000, 0.7808)
Sc (0.0000, 0.0000, 0.2192)
Sm (0.5000, 0.5000, 0.5000)
Cd (0.5000, 0.5000, 0.0000)

SmScCd17: relaxed, GGA-PBE.

Output
uncorrected energy = -27.97 eV/cell
M_tot = 0.00 μB/cell
formation enthalpy at 0 K = -0.0716 eV/atom
N(E_F) = 5.0 states/eV/f.u.

Cell lengths 7.6468, 7.6468, 7.6468 Å; angles 81.90, 81.90, 81.90 degrees
Fractional positions:
Sm (0.6729, 0.6729, 0.6729)
Sc (0.3207, 0.3207, 0.3207)
Cd (0.3047, 0.0037, 0.6928)
Cd (0.6928, 0.3047, 0.0037)
Cd (0.0037, 0.6928, 0.3047)
Cd (0.3047, 0.6928, 0.0037)
Cd (0.0037, 0.3047, 0.6928)
Cd (0.6928, 0.0037, 0.3047)
Cd (0.3660, 0.8214, 0.3660)
Cd (0.3660, 0.3660, 0.8214)
Cd (0.8214, 0.3660, 0.3660)
Cd (0.6481, 0.1484, 0.6481)
Cd (0.6481, 0.6481, 0.1484)
Cd (0.1484, 0.6481, 0.6481)
Cd (0.0059, 0.4908, 0.0059)
Cd (0.0059, 0.0059, 0.4908)
Cd (0.4908, 0.0059, 0.0059)
Cd (0.9014, 0.9014, 0.9014)
Cd (0.1021, 0.1021, 0.1021)

Q: What is the formula in the fifth record?
A: SmSc8Cd2

Q: Look up the M_tot of the fifth one.
A: 0.00 μB/cell

Q: Which of these has the lowest N(E_F)?
A: SmSc2Cd

Q: Among the records above, which one has the highest N(E_F)?
A: SmSc8Cd2